Material: Li2VFeP2H2O10
Method: DFT, PBE+U
State: relaxed

Unit cell a=6.964 b=7.403 c=7.999 alpha=91.17 beta=92.86 gamma=117.11
Space group P-1 (No. 2)
Symmetry-distinct sites (fractional):
1 Li 0.070 0.324 0.175 (multiplicity 2)
2 Li 0.430 0.672 0.325 (multiplicity 2)
3 V 0.000 0.500 0.500 (multiplicity 1)
4 V 0.500 0.000 0.000 (multiplicity 1)
5 Fe 0.000 0.000 0.500 (multiplicity 1)
6 Fe 0.500 0.500 0.000 (multiplicity 1)
7 P 0.015 0.729 0.157 (multiplicity 2)
8 P 0.480 0.269 0.342 (multiplicity 2)
9 H 0.211 0.843 0.650 (multiplicity 2)
10 H 0.289 0.160 0.851 (multiplicity 2)
11 O 0.038 0.124 0.738 (multiplicity 2)
12 O 0.059 0.779 0.605 (multiplicity 2)
13 O 0.110 0.615 0.272 (multiplicity 2)
14 O 0.169 0.836 0.019 (multiplicity 2)
15 O 0.195 0.432 0.940 (multiplicity 2)
16 O 0.313 0.573 0.558 (multiplicity 2)
17 O 0.323 0.159 0.479 (multiplicity 2)
18 O 0.386 0.382 0.228 (multiplicity 2)
19 O 0.443 0.223 0.895 (multiplicity 2)
20 O 0.466 0.878 0.763 (multiplicity 2)

Values from the calculation:
* Fermi-level density of states: 0.0 states/eV/cell
* energy above the most stable polymorph in this dataset: 1 meV/atom